# 1
# HfTi2Rh | Alexandria | GGA-PBE | optimized geometry
data_HfTi2Rh
_chemical_formula_sum 'Hf4 Ti8 Rh4'
_cell_length_a 7.339
_cell_length_b 7.339
_cell_length_c 5.508
_cell_angle_alpha 90.00
_cell_angle_beta 90.00
_cell_angle_gamma 90.00
_symmetry_space_group_name_H-M 'I -4 2 d'
_symmetry_Int_Tables_number 122
_symmetry_space_group_name_Hall 'I -4 2bw'
loop_
_atom_site_label
_atom_site_type_symbol
_atom_site_fract_x
_atom_site_fract_y
_atom_site_fract_z
Hf1 Hf 0.000 0.000 0.000
Ti1 Ti 0.204 0.250 0.625
Rh1 Rh 0.000 0.000 0.500
# uncorrected energy	-133.898	eV/cell
# volume	18.54	Å³ per atom



# 2
# CaTb2C | Alexandria | GGA-PBE | optimized geometry
data_CaTb2C
_chemical_formula_sum 'Ca3 Tb6 C3'
_cell_length_a 3.6168
_cell_length_b 3.6168
_cell_length_c 29.4783
_cell_angle_alpha 90.00
_cell_angle_beta 90.00
_cell_angle_gamma 120.00
_symmetry_space_group_name_H-M 'R -3 m'
_symmetry_Int_Tables_number 166
_symmetry_space_group_name_Hall '-R 3 2"'
loop_
_atom_site_label
_atom_site_type_symbol
_atom_site_fract_x
_atom_site_fract_y
_atom_site_fract_z
Ca1 Ca 0.0000 0.0000 0.0000
Tb1 Tb 0.0000 0.0000 0.1210
C1 C 0.0000 0.0000 0.5000
# uncorrected energy	-62.634	eV/cell
# volume	27.83	Å³ per atom



# 3
# Na2AgPd | Alexandria | GGA-PBE | optimized geometry
data_Na2AgPd
_chemical_formula_sum 'Na8 Ag4 Pd4'
_cell_length_a 8.974
_cell_length_b 7.030
_cell_length_c 5.465
_cell_angle_alpha 90.00
_cell_angle_beta 90.00
_cell_angle_gamma 90.00
_symmetry_space_group_name_H-M 'C m c m'
_symmetry_Int_Tables_number 63
_symmetry_space_group_name_Hall '-C 2c 2'
loop_
_atom_site_label
_atom_site_type_symbol
_atom_site_fract_x
_atom_site_fract_y
_atom_site_fract_z
Na1 Na 0.188 0.183 0.250
Ag1 Ag 0.000 0.160 0.750
Pd1 Pd 0.000 0.500 0.000
# uncorrected energy	-43.655	eV/cell
# volume	21.55	Å³ per atom



# 4
# Hg2PbAuBr | Alexandria | GGA-PBE | optimized geometry
data_Hg2PbAuBr
_chemical_formula_sum 'Hg2 Pb1 Au1 Br1'
_cell_length_a 5.379
_cell_length_b 5.379
_cell_length_c 5.604
_cell_angle_alpha 90.00
_cell_angle_beta 90.00
_cell_angle_gamma 90.00
_symmetry_space_group_name_H-M 'P 4/m m m'
_symmetry_Int_Tables_number 123
_symmetry_space_group_name_Hall '-P 4 2'
loop_
_atom_site_label
_atom_site_type_symbol
_atom_site_fract_x
_atom_site_fract_y
_atom_site_fract_z
Hg1 Hg 0.000 0.500 0.000
Pb1 Pb 0.000 0.000 0.500
Au1 Au 0.000 0.000 0.000
Br1 Br 0.500 0.500 0.500
# raw formation energy	-59	kJ/mol of formula units
# volume	32.43	Å³ per atom



# 5
# BaHg2SbSe4 | Alexandria | GGA-PBE | optimized geometry
data_BaHg2SbSe4
_chemical_formula_sum 'Ba2 Hg4 Sb2 Se8'
_cell_length_a 7.250
_cell_length_b 8.199
_cell_length_c 8.476
_cell_angle_alpha 90.00
_cell_angle_beta 90.00
_cell_angle_gamma 90.00
_symmetry_space_group_name_H-M 'I 2 2 2'
_symmetry_Int_Tables_number 23
loop_
_symmetry_equiv_pos_as_xyz
'x,y,z'
'-x,-y,z'
'x,-y,-z'
'-x,y,-z'
'x+1/2,y+1/2,z+1/2'
'-x+1/2,-y+1/2,z+1/2'
'x+1/2,-y+1/2,-z+1/2'
'-x+1/2,y+1/2,-z+1/2'
loop_
_atom_site_label
_atom_site_type_symbol
_atom_site_fract_x
_atom_site_fract_y
_atom_site_fract_z
Ba1 Ba 0.000 0.000 0.000
Hg1 Hg 0.000 0.500 0.333
Sb1 Sb 0.000 0.000 0.500
Se1 Se 0.221 0.172 0.691
# raw formation energy	-438	kJ/mol of formula units
# volume	31.49	Å³ per atom



# 6
# YTiMo4 | Alexandria | GGA-PBE | optimized geometry
data_YTiMo4
_chemical_formula_sum 'Y4 Ti4 Mo16'
_cell_length_a 7.620
_cell_length_b 7.620
_cell_length_c 7.620
_cell_angle_alpha 90.00
_cell_angle_beta 90.00
_cell_angle_gamma 90.00
_symmetry_space_group_name_H-M 'F -4 3 m'
_symmetry_Int_Tables_number 216
_symmetry_space_group_name_Hall 'F -4 2 3'
loop_
_atom_site_label
_atom_site_type_symbol
_atom_site_fract_x
_atom_site_fract_y
_atom_site_fract_z
Y1 Y 0.000 0.000 0.000
Ti1 Ti 0.250 0.250 0.250
Mo1 Mo 0.125 0.125 0.625
# uncorrected energy	-228.618	eV/cell
# volume	18.44	Å³ per atom



# 7
# Ni2SbPt2 | Alexandria | GGA-PBE | optimized geometry
data_Ni2SbPt2
_chemical_formula_sum 'Ni4 Sb2 Pt4'
_cell_length_a 6.428
_cell_length_b 6.428
_cell_length_c 3.692
_cell_angle_alpha 90.00
_cell_angle_beta 90.00
_cell_angle_gamma 90.00
_symmetry_space_group_name_H-M 'P 4/m b m'
_symmetry_Int_Tables_number 127
_symmetry_space_group_name_Hall '-P 4 2ab'
loop_
_atom_site_label
_atom_site_type_symbol
_atom_site_fract_x
_atom_site_fract_y
_atom_site_fract_z
Ni1 Ni 0.134 0.366 0.000
Sb1 Sb 0.000 0.000 0.000
Pt1 Pt 0.158 0.658 0.500
# raw formation energy	-20	kJ/mol of formula units
# volume	15.25	Å³ per atom



# 8
# Cu2S4Cl3 | Alexandria | GGA-PBE | optimized geometry
data_Cu2S4Cl3
_chemical_formula_sum 'Cu8 S16 Cl12'
_cell_length_a 8.720
_cell_length_b 39.238
_cell_length_c 3.772
_cell_angle_alpha 90.00
_cell_angle_beta 102.06
_cell_angle_gamma 90.00
_symmetry_space_group_name_H-M 'C 1 2/c 1'
_symmetry_Int_Tables_number 15
loop_
_symmetry_equiv_pos_as_xyz
'x,y,z'
'-x,-y,-z'
'-x,y,-z+1/2'
'x,-y,z+1/2'
'x+1/2,y+1/2,z'
'-x+1/2,-y+1/2,-z'
'-x+1/2,y+1/2,-z+1/2'
'x+1/2,-y+1/2,z+1/2'
loop_
_atom_site_label
_atom_site_type_symbol
_atom_site_fract_x
_atom_site_fract_y
_atom_site_fract_z
Cu1 Cu 0.199 0.065 0.362
S1 S 0.140 0.171 0.768
S2 S 0.186 0.202 0.409
Cl1 Cl 0.000 0.101 0.250
Cl2 Cl 0.197 0.454 0.090
# raw formation energy	-124	kJ/mol of formula units
# volume	35.06	Å³ per atom



# 9
# SmCBr | Alexandria | GGA-PBE | optimized geometry
data_SmCBr
_chemical_formula_sum 'Sm4 C4 Br4'
_cell_length_a 3.829
_cell_length_b 4.511
_cell_length_c 16.060
_cell_angle_alpha 90.00
_cell_angle_beta 90.00
_cell_angle_gamma 90.00
_symmetry_space_group_name_H-M 'I m m m'
_symmetry_Int_Tables_number 71
_symmetry_space_group_name_Hall '-I 2 2'
loop_
_atom_site_label
_atom_site_type_symbol
_atom_site_fract_x
_atom_site_fract_y
_atom_site_fract_z
Sm1 Sm 0.000 0.000 0.112
C1 C 0.000 0.359 0.000
Br1 Br 0.000 0.000 0.318
# raw formation energy	-181	kJ/mol of formula units
# volume	23.12	Å³ per atom



# 10
# K2NaAl | Alexandria | GGA-PBE | optimized geometry
data_K2NaAl
_chemical_formula_sum 'K6 Na3 Al3'
_cell_length_a 3.8006
_cell_length_b 3.8006
_cell_length_c 41.8618
_cell_angle_alpha 90.00
_cell_angle_beta 90.00
_cell_angle_gamma 120.00
_symmetry_space_group_name_H-M 'R -3 m'
_symmetry_Int_Tables_number 166
_symmetry_space_group_name_Hall '-R 3 2"'
loop_
_atom_site_label
_atom_site_type_symbol
_atom_site_fract_x
_atom_site_fract_y
_atom_site_fract_z
K1 K 0.0000 0.0000 0.0818
Na1 Na 0.0000 0.0000 0.5000
Al1 Al 0.0000 0.0000 0.0000
# uncorrected energy	-16.223	eV/cell
# volume	43.64	Å³ per atom



# 11
# MgW2Cl | Alexandria | GGA-PBE | optimized geometry
data_MgW2Cl
_chemical_formula_sum 'Mg2 W4 Cl2'
_cell_length_a 4.504
_cell_length_b 4.504
_cell_length_c 6.667
_cell_angle_alpha 90.00
_cell_angle_beta 90.00
_cell_angle_gamma 90.00
_symmetry_space_group_name_H-M 'I -4 m 2'
_symmetry_Int_Tables_number 119
_symmetry_space_group_name_Hall 'I -4 -2'
loop_
_atom_site_label
_atom_site_type_symbol
_atom_site_fract_x
_atom_site_fract_y
_atom_site_fract_z
Mg1 Mg 0.000 0.000 0.000
W1 W 0.000 0.000 0.500
W2 W 0.000 0.500 0.750
Cl1 Cl 0.000 0.500 0.250
# raw formation energy	356	kJ/mol of formula units
# volume	16.91	Å³ per atom



# 12
# CrAsCl4 | Alexandria | GGA-PBE | optimized geometry
data_CrAsCl4
_chemical_formula_sum 'Cr4 As4 Cl16'
_cell_length_a 8.154
_cell_length_b 8.154
_cell_length_c 8.154
_cell_angle_alpha 90.00
_cell_angle_beta 90.00
_cell_angle_gamma 90.00
_symmetry_space_group_name_H-M 'F -4 3 m'
_symmetry_Int_Tables_number 216
_symmetry_space_group_name_Hall 'F -4 2 3'
loop_
_atom_site_label
_atom_site_type_symbol
_atom_site_fract_x
_atom_site_fract_y
_atom_site_fract_z
Cr1 Cr 0.000 0.000 0.000
As1 As 0.250 0.250 0.750
Cl1 Cl 0.125 0.125 0.375
# raw formation energy	509	kJ/mol of formula units
# volume	22.59	Å³ per atom



# 13
# Cs5K12Br3 | Alexandria | GGA-PBE | optimized geometry
data_Cs5K12Br3
_chemical_formula_sum 'Cs40 K96 Br24'
_cell_length_a 24.791
_cell_length_b 24.791
_cell_length_c 24.791
_cell_angle_alpha 90.00
_cell_angle_beta 90.00
_cell_angle_gamma 90.00
_symmetry_space_group_name_H-M 'I a -3 d'
_symmetry_Int_Tables_number 230
_symmetry_space_group_name_Hall '-I 4bd 2c 3'
loop_
_atom_site_label
_atom_site_type_symbol
_atom_site_fract_x
_atom_site_fract_y
_atom_site_fract_z
Cs1 Cs 0.000 0.000 0.000
Cs2 Cs 0.000 0.250 0.375
K1 K 0.008 0.123 0.636
Br1 Br 0.000 0.250 0.125
# raw formation energy	-619	kJ/mol of formula units
# volume	95.22	Å³ per atom



# 14
# HoCd3Hg4 | Alexandria | GGA-PBE | optimized geometry
data_HoCd3Hg4
_chemical_formula_sum 'Ho1 Cd3 Hg4'
_cell_length_a 4.760
_cell_length_b 4.760
_cell_length_c 8.276
_cell_angle_alpha 90.00
_cell_angle_beta 90.00
_cell_angle_gamma 90.00
_symmetry_space_group_name_H-M 'P 4/m m m'
_symmetry_Int_Tables_number 123
_symmetry_space_group_name_Hall '-P 4 2'
loop_
_atom_site_label
_atom_site_type_symbol
_atom_site_fract_x
_atom_site_fract_y
_atom_site_fract_z
Ho1 Ho 0.000 0.000 0.000
Cd1 Cd 0.000 0.000 0.500
Cd2 Cd 0.500 0.500 0.000
Cd3 Cd 0.500 0.500 0.500
Hg1 Hg 0.000 0.500 0.253
# uncorrected energy	-9.838	eV/cell
# volume	23.44	Å³ per atom